The following is a PBE-GGA calculation of a relaxed SrRuBr2 crystal, from the Alexandria database.

## Properties
M_tot: 0.12 μB/atom
ΔE to the lowest computed polymorph: 51.92 kJ per mole of atoms
E_form (uncorrected): -22 meV per atom
Volume: 30.26 Å³ per atom
Total energy: -14.4 eV per cell

Cell lengths 8.9447, 8.9447, 8.9447 Å; angles 25.99, 25.99, 25.99 degrees
Last column: nearest neighbours and their distance in Å.
Sites, in units of the cell vectors:
Sr (0.0000, 0.0000, 0.0000)  2 Br 3.10
Ru (0.5000, 0.5000, 0.5000)  6 Br 2.62
Br (0.1196, 0.1196, 0.1196)  3 Ru 2.62
Br (0.8804, 0.8804, 0.8804)  3 Ru 2.62

---

The following is a PBE-GGA calculation of a relaxed SrRu2Br crystal, from the Alexandria database.

## Properties
M_tot: 0.48 μB/atom
ΔE to the lowest computed polymorph: 94.87 kJ per mole of atoms
E_form (uncorrected): 878 meV per atom
Volume: 20.89 Å³ per atom
Total energy: -18.4 eV per cell

Cell lengths 5.5415, 5.5415, 3.1662 Å; angles 90.00, 90.00, 120.74 degrees
Last column: nearest neighbours and their distance in Å.
Sites, in units of the cell vectors:
Sr (0.0000, 0.0000, 0.0000)  2 Br 2.74
Ru (0.0000, 0.5000, 0.5000)  2 Ru 2.74
Ru (0.5000, 0.0000, 0.5000)  2 Ru 2.74
Br (0.5000, 0.5000, 0.0000)  2 Sr 2.74

---

The following is a PBE-GGA calculation of a relaxed SrRu2Br crystal, from the Alexandria database.

## Properties
M_tot: 0.00 μB/atom
ΔE to the lowest computed polymorph: 54.45 kJ per mole of atoms
E_form (uncorrected): 459 meV per atom
Volume: 25.30 Å³ per atom
Total energy: -40.1 eV per cell

Cell lengths 9.1105, 9.1105, 9.1105 Å; angles 148.79, 148.79, 44.72 degrees
Last column: nearest neighbours and their distance in Å.
Sites, in units of the cell vectors:
Sr (0.0000, 0.0000, 0.0000)  8 Ru 3.35-3.57, 4 Br 3.47
Sr (0.7500, 0.2500, 0.5000)  8 Ru 3.35-3.57, 4 Br 3.47
Ru (0.3432, 0.6250, 0.2182)  2 Br 2.44, 2 Ru 2.47
Ru (0.3750, 0.5932, 0.7182)  2 Br 2.44, 2 Ru 2.47
Ru (0.4068, 0.1250, 0.7818)  2 Br 2.44, 2 Ru 2.47
Ru (0.8750, 0.6568, 0.2818)  2 Br 2.44, 2 Ru 2.47
Br (0.2500, 0.7500, 0.5000)  4 Ru 2.44
Br (0.5000, 0.5000, 0.0000)  4 Ru 2.44

---

The following is a PBE-GGA calculation of a relaxed SrRuBr2 crystal, from the Alexandria database.

## Properties
M_tot: 0.22 μB/atom
ΔE to the lowest computed polymorph: 26.62 kJ per mole of atoms
E_form (uncorrected): -284 meV per atom
Volume: 28.71 Å³ per atom
Total energy: -30.9 eV per cell

Cell lengths 8.9406, 8.9406, 8.9406 Å; angles 145.37, 145.37, 49.78 degrees
Last column: nearest neighbours and their distance in Å.
Sites, in units of the cell vectors:
Sr (0.0000, 0.0000, 0.0000)  4 Br 2.97
Sr (0.7500, 0.2500, 0.5000)  4 Br 2.97
Ru (0.2500, 0.7500, 0.5000)  4 Br 2.60
Ru (0.5000, 0.5000, 0.0000)  4 Br 2.60
Br (0.1966, 0.6250, 0.0716)  2 Ru 2.60
Br (0.3750, 0.4466, 0.5716)  2 Ru 2.60
Br (0.5534, 0.1250, 0.9284)  2 Ru 2.60
Br (0.8750, 0.8034, 0.4284)  2 Ru 2.60

---

The following is a PBE-GGA calculation of a relaxed SrRuBr2 crystal, from the Alexandria database.

## Properties
M_tot: 0.50 μB/atom
ΔE to the lowest computed polymorph: 10.61 kJ per mole of atoms
E_form (uncorrected): -450 meV per atom
Volume: 27.52 Å³ per atom
Total energy: -16.1 eV per cell

Cell lengths 3.9564, 4.6235, 6.3319 Å; angles 90.00, 108.12, 90.00 degrees
Last column: nearest neighbours and their distance in Å.
Sites, in units of the cell vectors:
Sr (0.0000, 0.0000, 0.0000)  6 Br 3.15-3.24, 4 Ru 3.42
Ru (0.3709, 0.5000, 0.7403)  3 Br 2.48-2.68
Br (0.2974, 0.0000, 0.5926)  2 Ru 2.48
Br (0.5926, 0.5000, 0.1860)  1 Ru 2.68

---

The following is a PBE-GGA calculation of a relaxed SrRuBr2 crystal, from the Alexandria database.

## Properties
M_tot: 0.15 μB/atom
ΔE to the lowest computed polymorph: 13.28 kJ per mole of atoms
E_form (uncorrected): -422 meV per atom
Volume: 29.08 Å³ per atom
Total energy: -16.0 eV per cell

Cell lengths 6.0751, 6.0751, 5.2841 Å; angles 92.37, 92.37, 36.66 degrees
Last column: nearest neighbours and their distance in Å.
Sites, in units of the cell vectors:
Sr (0.0000, 0.0000, 0.0000)  7 Br 3.14-3.28, 2 Ru 3.16
Ru (0.6961, 0.6961, 0.8084)  3 Br 2.44-2.55
Br (0.2726, 0.2726, 0.0493)  2 Ru 2.44
Br (0.5198, 0.5198, 0.4995)  1 Ru 2.55

---

The following is a PBE-GGA calculation of a relaxed SrRu2Br crystal, from the Alexandria database.

## Properties
M_tot: 0.00 μB/atom
ΔE to the lowest computed polymorph: 50.24 kJ per mole of atoms
E_form (uncorrected): 415 meV per atom
Volume: 22.43 Å³ per atom
Total energy: -20.2 eV per cell

Cell lengths 3.7228, 5.4565, 4.4167 Å; angles 90.00, 90.02, 90.00 degrees
Last column: nearest neighbours and their distance in Å.
Sites, in units of the cell vectors:
Sr (0.0000, 0.0000, 0.0000)  4 Br 2.89
Ru (0.3680, 0.5000, 0.7523)  2 Ru 2.40-2.44
Ru (0.6320, 0.5000, 0.2477)  2 Ru 2.40-2.44
Br (0.5000, 0.0000, 0.5000)  4 Sr 2.89, 4 Ru 2.99

---

The following is a PBE-GGA calculation of a relaxed SrRuBr2 crystal, from the Alexandria database.

## Properties
M_tot: 0.51 μB/atom
ΔE to the lowest computed polymorph: 23.53 kJ per mole of atoms
E_form (uncorrected): -316 meV per atom
Volume: 26.49 Å³ per atom
Total energy: -15.6 eV per cell

Cell lengths 4.1061, 4.1061, 6.2849 Å; angles 90.00, 90.00, 90.00 degrees
Last column: nearest neighbours and their distance in Å.
Sites, in units of the cell vectors:
Sr (0.0000, 0.0000, 0.0000)  5 Br 2.91-3.01
Ru (0.5000, 0.5000, 0.7030)  1 Br 2.67
Br (0.0000, 0.0000, 0.5368)  1 Sr 2.91, 4 Ru 3.09
Br (0.5000, 0.5000, 0.1284)  1 Ru 2.67

---

The following is a PBE-GGA calculation of a relaxed Sr3RuBr crystal, from the Alexandria database.

## Properties
M_tot: 0.00 μB/atom
ΔE to the lowest computed polymorph: 0.00 kJ per mole of atoms
E_form (uncorrected): -184 meV per atom
Volume: 38.69 Å³ per atom
Total energy: -16.9 eV per cell

Cell lengths 5.7836, 5.7836, 5.7836 Å; angles 90.00, 90.00, 90.00 degrees
Last column: nearest neighbours and their distance in Å.
Sites, in units of the cell vectors:
Sr (0.0000, 0.0000, 0.5000)  2 Ru 2.89
Sr (0.0000, 0.5000, 0.0000)  2 Ru 2.89
Sr (0.5000, 0.0000, 0.0000)  2 Ru 2.89
Ru (0.0000, 0.0000, 0.0000)  6 Sr 2.89
Br (0.5000, 0.5000, 0.5000)  12 Sr 4.09

---

The following is a PBE-GGA calculation of a relaxed SrRu2Br crystal, from the Alexandria database.

## Properties
M_tot: 0.01 μB/atom
ΔE to the lowest computed polymorph: 62.44 kJ per mole of atoms
E_form (uncorrected): 542 meV per atom
Volume: 22.48 Å³ per atom
Total energy: -19.7 eV per cell

Cell lengths 3.8497, 3.8497, 6.0666 Å; angles 90.00, 90.00, 90.00 degrees
Last column: nearest neighbours and their distance in Å.
Sites, in units of the cell vectors:
Sr (0.0000, 0.0000, 0.0000)  4 Br 2.72
Ru (0.0000, 0.5000, 0.5000)  4 Ru 2.72
Ru (0.5000, 0.0000, 0.5000)  4 Ru 2.72
Br (0.5000, 0.5000, 0.0000)  4 Sr 2.72

---

The following is a PBE-GGA calculation of a relaxed SrRu2Br crystal, from the Alexandria database.

## Properties
M_tot: 0.00 μB/atom
ΔE to the lowest computed polymorph: 111.65 kJ per mole of atoms
E_form (uncorrected): 1052 meV per atom
Volume: 18.98 Å³ per atom
Total energy: -17.7 eV per cell

Cell lengths 4.7530, 4.7530, 4.7530 Å; angles 60.00, 60.00, 60.00 degrees
Last column: nearest neighbours and their distance in Å.
Sites, in units of the cell vectors:
Sr (0.0000, 0.0000, 0.0000)  8 Ru 2.91
Ru (0.2500, 0.2500, 0.2500)  4 Br 2.91, 4 Sr 2.91
Ru (0.7500, 0.7500, 0.7500)  4 Br 2.91, 4 Sr 2.91
Br (0.5000, 0.5000, 0.5000)  8 Ru 2.91

---

The following is a PBE-GGA calculation of a relaxed SrRu2Br crystal, from the Alexandria database.

## Properties
M_tot: 0.78 μB/atom
ΔE to the lowest computed polymorph: 61.73 kJ per mole of atoms
E_form (uncorrected): 534 meV per atom
Volume: 20.88 Å³ per atom
Total energy: -19.8 eV per cell

Cell lengths 6.2059, 6.2059, 6.2059 Å; angles 149.63, 135.93, 54.46 degrees
Last column: nearest neighbours and their distance in Å.
Sites, in units of the cell vectors:
Sr (0.0000, 0.0000, 0.0000)  4 Br 2.84
Ru (0.2622, 0.7622, 0.5000)  4 Ru 2.85, 2 Br 3.09
Ru (0.7378, 0.2378, 0.5000)  4 Ru 2.85, 2 Br 3.09
Br (0.5000, 0.5000, 0.0000)  4 Sr 2.84, 4 Ru 3.09

---

- Which of these has the highest volume?
  Sr3RuBr